Entry 1:
Here is a relaxed structure of BaPd3Pb from the Alexandria database. Energies are from GGA-PBE.

extended XYZ file:
```
5
Lattice="5.204 0.000 0.000 0.000 5.204 0.000 0.000 0.000 5.204" Properties=species:S:1:pos:R:3 pbc="T T T"
Ba 0.000 0.000 0.000
Pd 0.000 2.602 2.602
Pd 2.602 0.000 2.602
Pd 2.602 2.602 0.000
Pb 2.602 2.602 2.602
```

- DFT formation energy (eV per atom) = -0.082
- distance to the lowest polymorph of the same formula (meV/atom) = 347.4
- DOS(E_F) (states/eV/cell) = 3.006
- total magnetization (μB per cell) = 0.0

Entry 2:
Here is a relaxed structure of BaPd4Pb2 from the Alexandria database. Energies are from GGA-PBE.

extended XYZ file:
```
14
Lattice="-4.272 4.272 4.349 4.272 -4.272 4.349 4.272 4.272 -4.349" Properties=species:S:1:pos:R:3 pbc="T T T"
Ba 0.000 0.000 2.175
Ba 0.000 0.000 6.524
Pd 3.031 -1.240 1.433
Pd 5.512 -1.240 2.916
Pd 5.512 1.240 1.433
Pd 3.031 1.240 2.916
Pd 1.240 3.031 1.433
Pd -1.240 3.031 2.916
Pd -1.240 5.512 1.433
Pd 1.240 5.512 2.916
Pb 2.977 1.295 0.000
Pb 2.977 -1.295 4.349
Pb 1.295 5.567 0.000
Pb 1.295 2.977 4.349
```

- DFT formation energy (eV per atom) = -0.437
- distance to the lowest polymorph of the same formula (meV/atom) = 0.0
- DOS(E_F) (states/eV/cell) = 9.024
- total magnetization (μB per cell) = 0.0

Entry 3:
Here is a relaxed structure of Ba3Pd2Pb3 from the Alexandria database. Energies are from GGA-PBE.

extended XYZ file:
```
16
Lattice="2.450 -6.043 0.000 2.450 6.043 0.000 0.000 0.000 17.707" Properties=species:S:1:pos:R:3 pbc="T T T"
Ba 2.450 5.388 10.788
Ba 2.450 5.388 15.773
Ba 2.450 1.904 13.280
Ba 2.450 -1.904 4.427
Ba 2.450 -5.388 1.934
Ba 2.450 -5.388 6.919
Pd 2.450 3.188 1.949
Pd 2.450 3.188 6.905
Pd 2.450 -3.188 10.802
Pd 2.450 -3.188 15.758
Pb 2.450 1.958 9.504
Pb 2.450 1.958 17.057
Pb 2.450 1.695 4.427
Pb 2.450 -1.695 13.280
Pb 2.450 -1.958 0.651
Pb 2.450 -1.958 8.203
```

- DFT formation energy (eV per atom) = -0.540
- distance to the lowest polymorph of the same formula (meV/atom) = 0.0
- DOS(E_F) (states/eV/cell) = 10.102
- total magnetization (μB per cell) = 0.0

Entry 4:
Here is a relaxed structure of BaPd12Pb4 from the Alexandria database. Energies are from GGA-PBE.

extended XYZ file:
```
17
Lattice="-4.581 4.581 4.581 4.581 -4.581 4.581 4.581 4.581 -4.581" Properties=species:S:1:pos:R:3 pbc="T T T"
Ba 0.000 0.000 0.000
Pd 3.273 0.000 1.353
Pd 5.889 0.000 1.353
Pd 4.581 3.228 -1.308
Pd 1.353 3.273 0.000
Pd 3.228 -1.308 4.581
Pd 4.581 3.228 1.308
Pd 0.000 1.353 3.273
Pd 1.353 5.889 0.000
Pd 3.228 1.308 4.581
Pd 0.000 1.353 5.889
Pd -1.308 4.581 3.228
Pd 1.308 4.581 3.228
Pb 2.290 2.290 -2.290
Pb 2.290 -2.290 2.290
Pb -2.290 2.290 2.290
Pb 2.290 2.290 2.290
```

- DFT formation energy (eV per atom) = 0.081
- DOS(E_F) (states/eV/cell) = 5.864
- total magnetization (μB per cell) = 0.0

Entry 5:
Here is a relaxed structure of Ba3Pd2Pb3 from the Alexandria database. Energies are from GGA-PBE.

extended XYZ file:
```
32
Lattice="9.376 0.000 0.000 0.000 17.436 0.000 0.000 0.000 6.355" Properties=species:S:1:pos:R:3 pbc="T T T"
Ba 0.344 1.930 0.680
Ba 0.344 6.787 0.680
Ba 1.726 4.359 3.805
Ba 2.962 13.077 0.628
Ba 4.344 10.648 3.858
Ba 4.344 15.505 3.858
Ba 5.032 1.930 2.497
Ba 5.032 6.787 2.497
Ba 6.414 4.359 5.727
Ba 7.650 13.077 2.550
Ba 9.032 10.648 5.675
Ba 9.032 15.505 5.675
Pd 0.929 10.558 2.425
Pd 0.929 15.596 2.425
Pd 3.759 1.840 5.603
Pd 3.759 6.878 5.603
Pd 5.617 10.558 0.752
Pd 5.617 15.596 0.752
Pd 8.447 1.840 3.929
Pd 8.447 6.878 3.929
Pb 1.549 13.077 3.728
Pb 1.696 0.637 3.855
Pb 1.696 8.081 3.855
Pb 2.992 9.355 0.678
Pb 2.992 16.799 0.678
Pb 3.139 4.359 0.551
Pb 6.237 13.077 5.804
Pb 6.384 0.637 5.677
Pb 6.384 8.081 5.677
Pb 7.680 9.355 2.500
Pb 7.680 16.799 2.500
Pb 7.827 4.359 2.626
```

- DFT formation energy (eV per atom) = -0.516
- distance to the lowest polymorph of the same formula (meV/atom) = 24.4
- DOS(E_F) (states/eV/cell) = 22.251
- total magnetization (μB per cell) = 0.0

Entry 6:
Here is a relaxed structure of Ba2Pd2Pb from the Alexandria database. Energies are from GGA-PBE.

extended XYZ file:
```
5
Lattice="-3.141 3.141 4.136 3.141 -3.141 4.136 3.141 3.141 -4.136" Properties=species:S:1:pos:R:3 pbc="T T T"
Ba 3.141 0.000 2.068
Ba 0.000 3.141 2.068
Pd 0.000 0.000 1.340
Pd 0.000 0.000 6.932
Pb 0.000 0.000 4.136
```

- DFT formation energy (eV per atom) = -0.391
- DOS(E_F) (states/eV/cell) = 5.463
- total magnetization (μB per cell) = 0.0

Entry 7:
Here is a relaxed structure of BaPd3Pb2 from the Alexandria database. Energies are from GGA-PBE.

extended XYZ file:
```
12
Lattice="8.803 -2.434 0.000 8.803 2.434 0.000 -3.579 0.000 7.238" Properties=species:S:1:pos:R:3 pbc="T T T"
Ba 2.005 0.000 1.498
Ba 12.022 0.000 5.740
Pd -1.068 0.000 2.473
Pd 5.072 0.000 0.422
Pd 5.508 0.000 3.319
Pd 8.519 0.000 3.919
Pd 8.955 0.000 6.817
Pd 15.095 0.000 4.765
Pb 0.365 0.000 5.096
Pb 7.736 0.000 1.231
Pb 6.292 0.000 6.007
Pb 13.662 0.000 2.142
```

- DFT formation energy (eV per atom) = -0.415
- distance to the lowest polymorph of the same formula (meV/atom) = 0.0
- DOS(E_F) (states/eV/cell) = 6.713
- total magnetization (μB per cell) = 0.0

Entry 8:
Here is a relaxed structure of BaPd2Pb4 from the Alexandria database. Energies are from GGA-PBE.

extended XYZ file:
```
28
Lattice="19.905 0.000 0.000 0.000 4.902 0.000 0.000 0.000 7.722" Properties=species:S:1:pos:R:3 pbc="T T T"
Ba 2.832 1.225 0.112
Ba 7.120 3.676 3.973
Ba 12.784 1.225 3.750
Ba 17.073 3.676 7.611
Pd 0.711 3.676 1.838
Pd 4.247 1.225 4.091
Pd 5.706 3.676 0.230
Pd 9.241 1.225 5.699
Pd 10.663 3.676 2.023
Pd 14.199 1.225 7.492
Pd 15.658 3.676 3.631
Pd 19.194 1.225 5.885
Pb 0.614 3.676 6.573
Pb 1.344 1.225 3.826
Pb 3.591 3.676 2.478
Pb 3.875 3.676 5.611
Pb 6.077 1.225 1.750
Pb 6.361 1.225 6.339
Pb 8.608 3.676 7.687
Pb 9.338 1.225 2.712
Pb 10.567 3.676 5.011
Pb 11.296 1.225 0.036
Pb 13.543 3.676 1.384
Pb 13.827 3.676 5.972
Pb 16.030 1.225 2.111
Pb 16.314 1.225 5.245
Pb 18.561 3.676 3.897
Pb 19.290 1.225 1.149
```

- DFT formation energy (eV per atom) = -0.393
- distance to the lowest polymorph of the same formula (meV/atom) = 0.0
- DOS(E_F) (states/eV/cell) = 11.565
- total magnetization (μB per cell) = 0.0

Entry 9:
Here is a relaxed structure of BaPd6Pb12 from the Alexandria database. Energies are from GGA-PBE.

extended XYZ file:
```
19
Lattice="6.726 3.883 3.278 -6.726 3.883 3.278 0.000 -7.766 3.278" Properties=species:S:1:pos:R:3 pbc="T T T"
Ba 0.000 0.000 0.000
Pd 0.000 -3.449 4.100
Pd -2.987 1.724 4.100
Pd -2.987 -1.724 5.735
Pd 2.987 1.724 4.100
Pd 2.987 -1.724 5.735
Pd 0.000 3.449 5.735
Pb -2.544 -4.407 4.917
Pb -5.089 0.000 4.917
Pb -1.767 -1.020 3.292
Pb 1.767 -1.020 3.292
Pb 0.000 2.041 3.292
Pb 2.544 -4.407 4.917
Pb -2.544 4.407 4.917
Pb 0.000 -2.041 6.543
Pb -1.767 1.020 6.543
Pb 1.767 1.020 6.543
Pb 5.089 0.000 4.917
Pb 2.544 4.407 4.917
```

- DFT formation energy (eV per atom) = -0.195
- DOS(E_F) (states/eV/cell) = 11.245
- total magnetization (μB per cell) = 0.0

Entry 10:
Here is a relaxed structure of Ba2Pd2Pb3 from the Alexandria database. Energies are from GGA-PBE.

extended XYZ file:
```
14
Lattice="2.466 -10.726 0.000 2.466 10.726 0.000 0.000 0.000 8.010" Properties=species:S:1:pos:R:3 pbc="T T T"
Ba 2.466 9.500 6.008
Ba 2.466 7.195 2.003
Ba 2.466 -7.195 6.008
Ba 2.466 -9.500 2.003
Pd 2.466 4.295 0.449
Pd 2.466 4.295 3.556
Pd 2.466 -4.295 4.454
Pd 2.466 -4.295 7.561
Pb 2.466 5.970 6.008
Pb 2.466 1.451 4.497
Pb 2.466 1.451 7.518
Pb 2.466 -1.451 0.492
Pb 2.466 -1.451 3.513
Pb 2.466 -5.970 2.003
```

- DFT formation energy (eV per atom) = -0.416
- distance to the lowest polymorph of the same formula (meV/atom) = 60.9
- DOS(E_F) (states/eV/cell) = 10.162
- total magnetization (μB per cell) = 0.0

> DOS(E_F) of number 4 (BaPd12Pb4)?

5.864 states/eV/cell

> Look up the DFT formation energy of the ninth one.

-0.195 eV per atom

> Among the records above, which one has the highest DOS(E_F)?

number 5